No. 1
Below is a relaxed structure of Tb2NdHoSc2, with properties calculated at the PBE level.

Unit cell a=3.3527 b=6.2832 c=17.4934 alpha=90.00 beta=90.00 gamma=90.00
Sites, in units of the cell vectors:
Tb (0.5000, 0.2802, 0.3076)
Tb (0.0000, 0.7802, 0.1924)
Tb (0.5000, 0.7198, 0.6924)
Tb (0.0000, 0.2198, 0.8076)
Nd (0.0000, 0.0000, 0.0000)
Nd (0.5000, 0.5000, 0.5000)
Ho (0.5000, 0.5000, 0.0000)
Ho (0.0000, 0.0000, 0.5000)
Sc (0.5000, 0.7836, 0.3547)
Sc (0.5000, 0.2164, 0.6453)
Sc (0.0000, 0.7164, 0.8547)
Sc (0.0000, 0.2836, 0.1453)

Computed properties:
Mass density   6.46 Mg/m³
Total energy   -4.93 eV/atom
Energy of formation   277 meV/atom

=====

No. 2
Below is a relaxed structure of La4Pr2ThMg, with properties calculated at the PBE level.

Unit cell a=5.9408 b=5.9373 c=9.7954 alpha=52.65 beta=89.98 gamma=89.96
Sites, in units of the cell vectors:
La (0.0000, 0.7681, 0.7319)
La (0.0000, 0.2319, 0.2681)
La (0.5000, 0.7322, 0.2685)
La (0.5000, 0.2678, 0.7315)
Pr (0.0000, 0.0000, 0.0000)
Pr (0.5000, 0.0000, 0.5000)
Th (0.5000, 0.5000, 0.0000)
Mg (0.0000, 0.5000, 0.5000)

Computed properties:
Mass density   6.61 Mg/m³
Total energy   -4.70 eV/atom
Energy of formation   82 meV/atom

=====

No. 3
Below is a relaxed structure of YSCl2, with properties calculated at the PBE level.

Unit cell a=4.8769 b=4.8769 c=4.8769 alpha=60.00 beta=60.00 gamma=60.00
Sites, in units of the cell vectors:
Y (0.5000, 0.5000, 0.5000)
S (0.0000, 0.0000, 0.0000)
Cl (0.2500, 0.2500, 0.2500)
Cl (0.7500, 0.7500, 0.7500)

Computed properties:
Formation energy (no corrections)   -1.042 eV per atom
Mass density   3.88 Mg/m³
Offset from the most stable computed form   2.77 kcal/mol of atoms
Total energy   -4.61 eV/atom

=====

No. 4
Below is a relaxed structure of Pm4CSCl2, with properties calculated at the PBE level.

Unit cell a=3.8828 b=6.9294 c=7.1907 alpha=108.08 beta=90.00 gamma=90.00
Sites, in units of the cell vectors:
Pm (0.5000, 0.2689, 0.2059)
Pm (0.5000, 0.7311, 0.7941)
Pm (0.0000, 0.2910, 0.8008)
Pm (0.0000, 0.7090, 0.1992)
C (0.5000, 0.5000, 0.0000)
S (0.0000, 0.0000, 0.0000)
Cl (0.5000, 0.0000, 0.5000)
Cl (0.0000, 0.5000, 0.5000)

Computed properties:
Formation energy (no corrections)   -1.398 eV per atom
Mass density   6.27 Mg/m³
Total energy   -5.90 eV/atom

=====

No. 5
Below is a relaxed structure of CoC3S, with properties calculated at the PBE level.

Unit cell a=3.5244 b=3.5244 c=3.5244 alpha=90.00 beta=90.00 gamma=90.00
Sites, in units of the cell vectors:
S (0.0000, 0.0000, 0.0000)
Co (0.5000, 0.5000, 0.5000)
C (0.0000, 0.5000, 0.0000)
C (0.0000, 0.0000, 0.5000)
C (0.5000, 0.0000, 0.0000)

Computed properties:
Formation energy (no corrections)   2.542 eV per atom
Mass density   4.82 Mg/m³
Offset from the most stable computed form   6.33 kcal/mol of atoms
Total energy   -5.24 eV/atom

=====

No. 6
Below is a relaxed structure of Pm8GeAs5, with properties calculated at the PBE level.

Unit cell a=7.7856 b=7.7856 c=7.7856 alpha=109.48 beta=109.44 gamma=109.48
Sites, in units of the cell vectors:
Pm (0.1259, 0.7524, 0.0088)
Pm (0.9912, 0.1171, 0.7436)
Pm (0.7589, 0.2501, 0.3751)
Pm (0.6249, 0.3838, 0.8750)
Pm (0.4912, 0.6162, 0.2411)
Pm (0.6265, 0.8829, 0.8741)
Pm (0.2564, 0.2476, 0.3735)
Pm (0.1250, 0.7499, 0.5088)
Ge (0.2500, 0.5000, 0.7500)
As (0.0004, 0.3764, 0.1263)
As (0.8737, 0.8742, 0.2502)
As (0.7498, 0.6236, 0.6240)
As (0.5000, 0.0000, 0.5000)
As (0.3760, 0.1258, 0.9996)

Computed properties:
Mass density   7.35 Mg/m³
Total energy   -5.91 eV/atom
Energy of formation   -1206 meV/atom

=====

No. 7
Below is a relaxed structure of Ac3ErIn4, with properties calculated at the PBE level.

Unit cell a=3.9541 b=3.9541 c=16.5454 alpha=90.00 beta=90.00 gamma=90.00
Sites, in units of the cell vectors:
Ac (0.5000, 0.5000, 0.2359)
Ac (0.5000, 0.5000, 0.5000)
Ac (0.5000, 0.5000, 0.7641)
In (0.0000, 0.0000, 0.8987)
In (0.0000, 0.0000, 0.1013)
In (0.0000, 0.0000, 0.3671)
In (0.0000, 0.0000, 0.6329)
Er (0.5000, 0.5000, 0.0000)

Computed properties:
Mass density   8.39 Mg/m³
Total energy   -3.90 eV/atom
Energy of formation   -424 meV/atom

=====

No. 8
Below is a relaxed structure of Cd6Pd, with properties calculated at the PBE level.

Unit cell a=6.8292 b=6.8292 c=6.8292 alpha=109.47 beta=109.47 gamma=109.47
Sites, in units of the cell vectors:
Cd (0.2500, 0.7500, 0.5000)
Cd (0.5000, 0.7500, 0.2500)
Cd (0.2500, 0.5000, 0.7500)
Cd (0.7500, 0.2500, 0.5000)
Cd (0.5000, 0.2500, 0.7500)
Cd (0.7500, 0.5000, 0.2500)
Pd (0.0000, 0.0000, 0.0000)

Computed properties:
Mass density   5.29 Mg/m³
Offset from the most stable computed form   19.37 kcal/mol of atoms
Total energy   -0.85 eV/atom
Energy of formation   680 meV/atom

=====

No. 9
Below is a relaxed structure of EuIrC, with properties calculated at the PBE level.

Unit cell a=4.7096 b=3.5438 c=3.5438 alpha=120.00 beta=90.00 gamma=90.00
Sites, in units of the cell vectors:
Eu (0.6667, 0.6667, 0.3333)
C (0.1666, 0.0000, 0.0000)
Ir (0.1667, 0.3333, 0.6667)

Computed properties:
Mass density   11.55 Mg/m³
Total energy   -9.42 eV/atom
Energy of formation   36 meV/atom

=====

No. 10
Below is a relaxed structure of Au5I3Cl12, with properties calculated at the PBE level.

Unit cell a=14.7622 b=14.7622 c=14.7622 alpha=109.47 beta=109.47 gamma=109.47
Sites, in units of the cell vectors:
I (0.7500, 0.3750, 0.1250)
I (0.8750, 0.7500, 0.1250)
I (0.3750, 0.7500, 0.6250)
I (0.2500, 0.1250, 0.3750)
I (0.8750, 0.1250, 0.2500)
I (0.3750, 0.6250, 0.2500)
I (0.6250, 0.3750, 0.7500)
I (0.1250, 0.8750, 0.7500)
I (0.7500, 0.8750, 0.6250)
I (0.6250, 0.2500, 0.3750)
I (0.1250, 0.2500, 0.8750)
I (0.2500, 0.6250, 0.8750)
Au (0.1250, 0.3750, 0.2500)
Au (0.0000, 0.5000, 0.0000)
Au (0.0000, 0.0000, 0.0000)
Au (0.3750, 0.2500, 0.1250)
Au (0.5000, 0.0000, 0.5000)
Au (0.5000, 0.5000, 0.0000)
Au (0.1250, 0.7500, 0.3750)
Au (0.7500, 0.1250, 0.8750)
Au (0.7500, 0.6250, 0.3750)
Au (0.3750, 0.1250, 0.7500)
Au (0.6250, 0.8750, 0.2500)
Au (0.5000, 0.5000, 0.5000)
Au (0.5000, 0.0000, 0.0000)
Au (0.0000, 0.0000, 0.5000)
Au (0.2500, 0.3750, 0.6250)
Au (0.2500, 0.8750, 0.1250)
Au (0.0000, 0.5000, 0.5000)
Au (0.8750, 0.2500, 0.6250)
Au (0.6250, 0.7500, 0.8750)
Au (0.8750, 0.6250, 0.7500)
Cl (0.6696, 0.1338, 0.9990)
Cl (0.3294, 0.4990, 0.3652)
Cl (0.0010, 0.3662, 0.3304)
Cl (0.4990, 0.1696, 0.1338)
Cl (0.5358, 0.6696, 0.6706)
Cl (0.0010, 0.6348, 0.1706)
Cl (0.3294, 0.8304, 0.4642)
Cl (0.1348, 0.9642, 0.1338)
Cl (0.6348, 0.0010, 0.6706)
Cl (0.6696, 0.5358, 0.1706)
Cl (0.8304, 0.5010, 0.3662)
Cl (0.8294, 0.8652, 0.9990)
Cl (0.1338, 0.6696, 0.4990)
Cl (0.3662, 0.3652, 0.0358)
Cl (0.0358, 0.8652, 0.3662)
Cl (0.4642, 0.1338, 0.6348)
Cl (0.0358, 0.1706, 0.1696)
Cl (0.5010, 0.6706, 0.1348)
Cl (0.8294, 0.9642, 0.3304)
Cl (0.1338, 0.4642, 0.1348)
Cl (0.3662, 0.0010, 0.8304)
Cl (0.6348, 0.6338, 0.4642)
Cl (0.8652, 0.8294, 0.4990)
Cl (0.8304, 0.3294, 0.9642)
Cl (0.3652, 0.3662, 0.5358)
Cl (0.1348, 0.1706, 0.5010)
Cl (0.1696, 0.6706, 0.0358)
Cl (0.1706, 0.0358, 0.6696)
Cl (0.6338, 0.9990, 0.1696)
Cl (0.8662, 0.5358, 0.8652)
Cl (0.4990, 0.3294, 0.8652)
Cl (0.5358, 0.8662, 0.3652)
Cl (0.9642, 0.8294, 0.8304)
Cl (0.9642, 0.1348, 0.6338)
Cl (0.8662, 0.3304, 0.5010)
Cl (0.1706, 0.1348, 0.0010)
Cl (0.6338, 0.6348, 0.9642)
Cl (0.3652, 0.9990, 0.3294)
Cl (0.3304, 0.4642, 0.8294)
Cl (0.1696, 0.4990, 0.6338)
Cl (0.8652, 0.0358, 0.8662)
Cl (0.6706, 0.1696, 0.5358)
Cl (0.5010, 0.8304, 0.8662)
Cl (0.9990, 0.3652, 0.8294)
Cl (0.4642, 0.3304, 0.3294)
Cl (0.9990, 0.6338, 0.6696)
Cl (0.6706, 0.5010, 0.6348)
Cl (0.3304, 0.8662, 0.0010)

Computed properties:
Formation energy (no corrections)   0.084 eV per atom
Mass density   4.80 Mg/m³
Total energy   -2.08 eV/atom

=====

No. 11
Below is a relaxed structure of HfI3Br, with properties calculated at the PBE level.

Unit cell a=5.6383 b=5.6383 c=5.6383 alpha=90.00 beta=90.00 gamma=90.00
Sites, in units of the cell vectors:
I (0.0000, 0.5000, 0.0000)
I (0.0000, 0.0000, 0.5000)
I (0.5000, 0.0000, 0.0000)
Hf (0.0000, 0.0000, 0.0000)
Br (0.5000, 0.5000, 0.5000)

Computed properties:
Formation energy (no corrections)   -0.417 eV per atom
Mass density   5.92 Mg/m³
Offset from the most stable computed form   12.46 kcal/mol of atoms
Total energy   -3.67 eV/atom

=====

No. 12
Below is a relaxed structure of ZrScNb2N4, with properties calculated at the PBE level.

Unit cell a=3.1729 b=5.5071 c=5.5159 alpha=109.35 beta=90.00 gamma=90.00
Sites, in units of the cell vectors:
Zr (0.5000, 0.5000, 0.0000)
Sc (0.0000, 0.0000, 0.0000)
Nb (0.5000, 0.0000, 0.5000)
Nb (0.0000, 0.5000, 0.5000)
N (0.5000, 0.2456, 0.2486)
N (0.5000, 0.7544, 0.7514)
N (0.0000, 0.2454, 0.7493)
N (0.0000, 0.7546, 0.2507)

Computed properties:
Formation energy (no corrections)   -1.410 eV per atom
Mass density   6.90 Mg/m³
Total energy   -9.95 eV/atom

=====

No. 13
Below is a relaxed structure of ZnCdNiSn2, with properties calculated at the PBE level.

Unit cell a=4.9726 b=4.9726 c=4.7186 alpha=90.00 beta=90.00 gamma=90.00
Sites, in units of the cell vectors:
Ni (0.0000, 0.0000, 0.0000)
Zn (0.0000, 0.0000, 0.5000)
Sn (0.0000, 0.5000, 0.0000)
Sn (0.5000, 0.0000, 0.0000)
Cd (0.5000, 0.5000, 0.5000)

Computed properties:
Mass density   6.75 Mg/m³
Total energy   -3.12 eV/atom
Energy of formation   73 meV/atom

=====

No. 14
Below is a relaxed structure of LaPm4Y2Ho2, with properties calculated at the PBE level.

Unit cell a=5.1087 b=8.0853 c=8.0816 alpha=107.26 beta=90.00 gamma=108.42
Sites, in units of the cell vectors:
La (0.0000, 0.0000, 0.0000)
Pm (0.7774, 0.5548, 0.6684)
Pm (0.2226, 0.4452, 0.3316)
Pm (0.5555, 0.1111, 0.3328)
Pm (0.4445, 0.8889, 0.6672)
Y (0.8884, 0.7768, 0.3341)
Y (0.1116, 0.2232, 0.6659)
Ho (0.3312, 0.6623, 0.0008)
Ho (0.6688, 0.3377, 0.9992)

Computed properties:
Mass density   6.77 Mg/m³
Total energy   -5.09 eV/atom
Energy of formation   20 meV/atom

=====

No. 15
Below is a relaxed structure of Pm5NdY2Er, with properties calculated at the PBE level.

Unit cell a=5.7142 b=10.5407 c=10.6457 alpha=90.00 beta=90.00 gamma=105.73
Sites, in units of the cell vectors:
Pm (0.3877, 0.7754, 0.0227)
Pm (0.7191, 0.4383, 0.8134)
Pm (0.4802, 0.9603, 0.7413)
Pm (0.2975, 0.5949, 0.7066)
Pm (0.9817, 0.9635, 0.5212)
Pm (0.6123, 0.2246, 0.5227)
Pm (0.2809, 0.5617, 0.3134)
Pm (0.5198, 0.0397, 0.2413)
Pm (0.7025, 0.4051, 0.2066)
Pm (0.0183, 0.0365, 0.0212)
Nd (0.5873, 0.1747, 0.9553)
Nd (0.4127, 0.8253, 0.4553)
Y (0.8843, 0.7686, 0.8190)
Y (0.1131, 0.2262, 0.7334)
Y (0.1157, 0.2314, 0.3190)
Y (0.8869, 0.7738, 0.2334)
Er (0.7998, 0.5996, 0.5110)
Er (0.2002, 0.4004, 0.0110)

Computed properties:
Mass density   6.53 Mg/m³
Total energy   -4.97 eV/atom
Energy of formation   145 meV/atom

=====

No. 16
Below is a relaxed structure of MgAgPt2Rh, with properties calculated at the PBE level.

Unit cell a=4.8942 b=4.8022 c=4.8942 alpha=90.00 beta=90.00 gamma=90.00
Sites, in units of the cell vectors:
Mg (0.5000, 0.5000, 0.5000)
Rh (0.0000, 0.5000, 0.0000)
Ag (0.0000, 0.0000, 0.0000)
Pt (0.0000, 0.0000, 0.5000)
Pt (0.5000, 0.0000, 0.0000)

Computed properties:
Mass density   9.03 Mg/m³
Total energy   -3.63 eV/atom
Energy of formation   1149 meV/atom

=====

No. 17
Below is a relaxed structure of RbBaSe2Br, with properties calculated at the PBE level.

Unit cell a=5.7432 b=5.7432 c=6.0943 alpha=90.00 beta=90.00 gamma=90.00
Sites, in units of the cell vectors:
Br (0.0000, 0.0000, 0.5000)
Se (0.0000, 0.5000, 0.0000)
Se (0.5000, 0.0000, 0.0000)
Ba (0.5000, 0.5000, 0.5000)
Rb (0.0000, 0.0000, 0.0000)

Computed properties:
Formation energy (no corrections)   -0.589 eV per atom
Mass density   3.81 Mg/m³
Offset from the most stable computed form   8.02 kcal/mol of atoms
Total energy   -2.90 eV/atom

=====

No. 18
Below is a relaxed structure of Li13Rh2, with properties calculated at the PBE level.

Unit cell a=5.1014 b=7.3484 c=7.0341 alpha=111.64 beta=82.73 gamma=99.61
Sites, in units of the cell vectors:
Li (0.6910, 0.6590, 0.9662)
Li (0.3090, 0.3410, 0.0338)
Li (0.0000, 0.0000, 0.0000)
Li (0.2441, 0.0684, 0.5882)
Li (0.7559, 0.9316, 0.4118)
Li (0.1332, 0.5062, 0.7424)
Li (0.8668, 0.4938, 0.2576)
Li (0.3604, 0.6017, 0.4241)
Li (0.6396, 0.3983, 0.5759)
Li (0.4482, 0.8591, 0.7854)
Li (0.5518, 0.1409, 0.2146)
Li (0.7998, 0.1876, 0.7975)
Li (0.2002, 0.8124, 0.2025)
Rh (0.9219, 0.7579, 0.6322)
Rh (0.0781, 0.2421, 0.3678)

Computed properties:
Mass density   2.04 Mg/m³
Total energy   -2.68 eV/atom
Energy of formation   -43 meV/atom

=====

No. 19
Below is a relaxed structure of Nd4HoCu4, with properties calculated at the PBE level.

Unit cell a=6.4426 b=8.4922 c=8.4922 alpha=90.00 beta=90.00 gamma=90.00
Sites, in units of the cell vectors:
Nd (0.4014, 0.2928, 0.9104)
Nd (0.9014, 0.5896, 0.7928)
Nd (0.4014, 0.7072, 0.0896)
Nd (0.0986, 0.2072, 0.5896)
Nd (0.5986, 0.9104, 0.7072)
Nd (0.0986, 0.7928, 0.4104)
Nd (0.9014, 0.4104, 0.2072)
Nd (0.5986, 0.0896, 0.2928)
Ho (0.0000, 0.0000, 0.0000)
Ho (0.5000, 0.5000, 0.5000)
Cu (0.6519, 0.7661, 0.3781)
Cu (0.6519, 0.2339, 0.6219)
Cu (0.1519, 0.8781, 0.7339)
Cu (0.8481, 0.2661, 0.8781)
Cu (0.8481, 0.7339, 0.1219)
Cu (0.3481, 0.3781, 0.2339)
Cu (0.3481, 0.6219, 0.7661)
Cu (0.1519, 0.1219, 0.2661)

Computed properties:
Mass density   7.12 Mg/m³
Total energy   -4.46 eV/atom
Energy of formation   -13 meV/atom